Nd2Sm2C2I2Br2Cl after structural relaxation, computed with PBE.

```
Nd2Sm2C2I2Br2Cl
1.0
9.817 -1.971 0.000
9.817 1.971 0.000
-1.781 0.000 8.025
Nd Sm C I Br Cl
2 2 2 2 2 1
Direct
0.002 0.002 0.294 Nd
0.998 0.998 0.706 Nd
0.347 0.347 0.413 Sm
0.653 0.653 0.587 Sm
0.463 0.463 0.479 C
0.537 0.537 0.521 C
0.163 0.163 0.880 I
0.837 0.837 0.120 I
0.170 0.170 0.331 Br
0.830 0.830 0.669 Br
0.500 0.500 0.000 Cl
```

Results
The energy above the lowest structure with this stoichiometry comes out at 0.0083 eV per atom.

Y4Bi3W2C3 after structural relaxation, computed with PBE.

```
Y4Bi3W2C3
1.0
5.260 -3.067 0.000
5.260 3.067 0.000
-3.069 0.000 14.949
Y Bi W C
8 6 4 6
Direct
0.038 0.182 0.090 Y
0.127 0.304 0.410 Y
0.182 0.038 0.590 Y
0.304 0.127 0.910 Y
0.696 0.873 0.090 Y
0.818 0.962 0.410 Y
0.873 0.696 0.590 Y
0.962 0.818 0.910 Y
0.131 0.869 0.250 Bi
0.264 0.416 0.747 Bi
0.416 0.264 0.247 Bi
0.584 0.736 0.753 Bi
0.736 0.584 0.253 Bi
0.869 0.131 0.750 Bi
0.333 0.517 0.062 W
0.483 0.667 0.438 W
0.517 0.333 0.562 W
0.667 0.483 0.938 W
0.000 0.500 0.000 C
0.209 0.645 0.499 C
0.355 0.791 0.001 C
0.500 0.000 0.500 C
0.645 0.209 0.999 C
0.791 0.355 0.501 C
```

Per-record size of the total moment, μB/cell: 0.01, 0.01
Per-record raw total energy, eV for the cell shown: -59.82, -189.78